Here is BaOs2W after structural relaxation from Alexandria. Energies are from PBE-GGA.

ΔH_f (0 K) = 1535 meV per atom
Mass density = 15.71 Mg/m³
E_tot = -31.20 eV per cell
Energy above the lowest structure with this stoichiometry = 0.946 eV/atom
M_tot = 0.12 μB per atom

a b c (Å): 4.715 4.715 4.726
angles (deg): 120.07 120.06 89.98
Last column: magnetic moment on the atom in μB.
Positions (direct):
Os1 0.999 0.001 0.000  0.33
Os2 0.251 0.749 0.500  0.18
W1 0.501 0.499 0.000  -0.04
Ba1 0.750 0.250 0.500  0.00

Here is BaOs2W after structural relaxation from Alexandria. Energies are from PBE-GGA.

ΔH_f (0 K) = 589 meV per atom
Mass density = 14.52 Mg/m³
E_tot = -34.98 eV per cell
Energy above the lowest structure with this stoichiometry = 0.000 eV/atom
M_tot = 0.00 μB per atom

a b c (Å): 3.145 3.145 8.115
angles (deg): 90.00 90.00 90.00
Positions (direct):
Os1 0.000 0.000 0.069
Os2 0.000 0.000 0.431
W1 0.500 0.500 0.250
Ba1 0.500 0.500 0.750

Here is Ba2OsW4 after structural relaxation from Alexandria. Energies are from PBE-GGA.

ΔH_f (0 K) = 1959 meV per atom
Mass density = 9.54 Mg/m³
E_tot = -53.17 eV per cell
M_tot = 0.18 μB per atom

a b c (Å): 4.947 4.947 9.228
angles (deg): 74.45 74.45 90.00
Last column: magnetic moment on the atom in μB.
Positions (direct):
Ba1 0.349 0.349 0.302  0.02
W1 0.500 0.000 0.000  -0.91
W2 0.861 0.861 0.277  1.34
W3 0.000 0.500 0.000  -0.91
Ba2 0.651 0.651 0.698  0.02
Os1 0.000 0.000 0.000  0.00
W4 0.139 0.139 0.723  1.34

Here is BaOsW4 after structural relaxation from Alexandria. Energies are from PBE-GGA.

ΔH_f (0 K) = 1177 meV per atom
Mass density = 15.30 Mg/m³
E_tot = -57.91 eV per cell
M_tot = 0.00 μB per atom

a b c (Å): 5.464 5.464 5.464
angles (deg): 60.00 60.00 60.00
Positions (direct):
Os1 0.000 0.000 0.000
W1 0.375 0.875 0.375
W2 0.375 0.375 0.375
Ba1 0.750 0.750 0.750
W3 0.375 0.375 0.875
W4 0.875 0.375 0.375

Here is BaOs2W after structural relaxation from Alexandria. Energies are from PBE-GGA.

ΔH_f (0 K) = 852 meV per atom
Mass density = 13.67 Mg/m³
E_tot = -33.93 eV per cell
Energy above the lowest structure with this stoichiometry = 0.263 eV/atom
M_tot = 0.00 μB per atom

a b c (Å): 2.888 3.791 7.787
angles (deg): 90.00 90.00 90.00
Positions (direct):
Os1 0.500 0.500 0.246
Os2 0.000 0.000 0.084
W1 0.000 0.000 0.408
Ba1 0.500 0.500 0.763

Here is BaOs2W after structural relaxation from Alexandria. Energies are from PBE-GGA.

ΔH_f (0 K) = 750 meV per atom
Mass density = 12.57 Mg/m³
E_tot = -34.34 eV per cell
Energy above the lowest structure with this stoichiometry = 0.161 eV/atom
M_tot = 0.00 μB per atom

a b c (Å): 4.719 4.719 6.918
angles (deg): 77.35 77.35 38.20
Positions (direct):
W1 0.750 0.750 0.750
Os1 0.027 0.027 0.891
Ba1 0.250 0.250 0.250
Os2 0.473 0.473 0.609

Here is BaOs2W after structural relaxation from Alexandria. Energies are from PBE-GGA.

ΔH_f (0 K) = 855 meV per atom
Mass density = 12.30 Mg/m³
E_tot = -33.92 eV per cell
Energy above the lowest structure with this stoichiometry = 0.266 eV/atom
M_tot = 0.00 μB per atom

a b c (Å): 5.012 5.012 6.526
angles (deg): 78.80 78.80 36.16
Positions (direct):
Os1 0.747 0.747 0.707
Os2 0.038 0.038 0.909
W1 0.459 0.459 0.656
Ba1 0.257 0.257 0.228

Here is BaOs2W after structural relaxation from Alexandria. Energies are from PBE-GGA.

ΔH_f (0 K) = 954 meV per atom
Mass density = 15.30 Mg/m³
E_tot = -33.52 eV per cell
Energy above the lowest structure with this stoichiometry = 0.365 eV/atom
M_tot = 0.00 μB per atom

a b c (Å): 10.271 10.271 10.271
angles (deg): 16.49 16.49 16.49
Positions (direct):
Os1 0.986 0.986 0.986
Ba1 0.750 0.750 0.750
W1 0.250 0.250 0.250
Os2 0.514 0.514 0.514

Here is BaOs2W after structural relaxation from Alexandria. Energies are from PBE-GGA.

ΔH_f (0 K) = 1525 meV per atom
Mass density = 15.03 Mg/m³
E_tot = -31.23 eV per cell
Energy above the lowest structure with this stoichiometry = 0.936 eV/atom
M_tot = 0.00 μB per atom

a b c (Å): 3.026 5.061 5.061
angles (deg): 90.00 90.00 90.00
Positions (direct):
Os1 0.000 0.500 0.500
Os2 0.000 0.000 0.000
W1 0.500 0.500 0.000
Ba1 0.500 0.000 0.500

Here is BaOs3W after structural relaxation from Alexandria. Energies are from PBE-GGA.

ΔH_f (0 K) = 4229 meV per atom
Mass density = 12.85 Mg/m³
E_tot = -27.42 eV per cell
Energy above the lowest structure with this stoichiometry = 2.705 eV/atom
M_tot = 0.34 μB per atom

a b c (Å): 4.867 4.867 4.867
angles (deg): 90.00 90.00 90.00
Last column: magnetic moment on the atom in μB.
Positions (direct):
Os1 0.000 0.000 0.500  0.57
W1 0.500 0.500 0.500  0.01
Os2 0.500 0.000 0.000  0.49
Os3 0.000 0.500 0.000  0.61
Ba1 0.000 0.000 0.000  -0.02

Here is Ba4OsW after structural relaxation from Alexandria. Energies are from PBE-GGA.

ΔH_f (0 K) = 1977 meV per atom
Mass density = 7.29 Mg/m³
E_tot = -20.01 eV per cell
M_tot = 0.77 μB per atom

a b c (Å): 6.674 6.674 6.674
angles (deg): 60.00 60.00 60.00
Last column: magnetic moment on the atom in μB.
Positions (direct):
W1 0.000 0.000 0.000  2.75
Ba1 0.375 0.874 0.375  -0.07
Ba2 0.375 0.375 0.874  -0.07
Ba3 0.874 0.375 0.375  -0.07
Ba4 0.375 0.375 0.375  -0.07
Os1 0.750 0.750 0.750  1.24

Here is BaOs2W after structural relaxation from Alexandria. Energies are from PBE-GGA.

ΔH_f (0 K) = 1695 meV per atom
Mass density = 15.55 Mg/m³
E_tot = -30.56 eV per cell
Energy above the lowest structure with this stoichiometry = 1.106 eV/atom
M_tot = 0.00 μB per atom

a b c (Å): 3.015 4.974 4.998
angles (deg): 90.00 90.00 90.00
Positions (direct):
Os1 0.500 0.500 0.000
W1 0.500 0.000 0.500
Os2 0.000 0.000 0.000
Ba1 0.000 0.500 0.500

- Which of these has the highest E_tot?
  Ba4OsW

Copy entry 8 word for word.
Here is BaOs2W after structural relaxation from Alexandria. Energies are from PBE-GGA.

ΔH_f (0 K) = 954 meV per atom
Mass density = 15.30 Mg/m³
E_tot = -33.52 eV per cell
Energy above the lowest structure with this stoichiometry = 0.365 eV/atom
M_tot = 0.00 μB per atom

a b c (Å): 10.271 10.271 10.271
angles (deg): 16.49 16.49 16.49
Positions (direct):
Os1 0.986 0.986 0.986
Ba1 0.750 0.750 0.750
W1 0.250 0.250 0.250
Os2 0.514 0.514 0.514

- Which of these has the lowest ΔH_f (0 K)?
  number 2

Copy entry 12 word for word.
Here is BaOs2W after structural relaxation from Alexandria. Energies are from PBE-GGA.

ΔH_f (0 K) = 1695 meV per atom
Mass density = 15.55 Mg/m³
E_tot = -30.56 eV per cell
Energy above the lowest structure with this stoichiometry = 1.106 eV/atom
M_tot = 0.00 μB per atom

a b c (Å): 3.015 4.974 4.998
angles (deg): 90.00 90.00 90.00
Positions (direct):
Os1 0.500 0.500 0.000
W1 0.500 0.000 0.500
Os2 0.000 0.000 0.000
Ba1 0.000 0.500 0.500